# PBE BiSb4Pd15, optimized geometry
data_BiSb4Pd15
_chemical_formula_sum 'Bi1 Sb4 Pd15'
_space_group_name_H-M_alt 'P 1'
_space_group_IT_number 1
_space_group_name_Hall 'P 1'
_cell_length_a 4.0834
_cell_length_b 4.0834
_cell_length_c 20.2896
_cell_angle_alpha 90.00
_cell_angle_beta 90.00
_cell_angle_gamma 90.00
loop_
_atom_site_label
_atom_site_fract_x
_atom_site_fract_y
_atom_site_fract_z
Bi1 0.0000 0.0000 0.0000
Sb1 0.0000 0.0000 0.2026
Sb2 0.0000 0.0000 0.4009
Sb3 0.0000 0.0000 0.5991
Sb4 0.0000 0.0000 0.7974
Pd1 0.5000 0.5000 0.0000
Pd2 0.5000 0.5000 0.2034
Pd3 0.5000 0.5000 0.4009
Pd4 0.5000 0.5000 0.5991
Pd5 0.5000 0.5000 0.7966
Pd6 0.5000 0.0000 0.1052
Pd7 0.5000 0.0000 0.3017
Pd8 0.5000 0.0000 0.5000
Pd9 0.5000 0.0000 0.6983
Pd10 0.5000 0.0000 0.8948
Pd11 0.0000 0.5000 0.1052
Pd12 0.0000 0.5000 0.3017
Pd13 0.0000 0.5000 0.5000
Pd14 0.0000 0.5000 0.6983
Pd15 0.0000 0.5000 0.8948
# - N(E_F) (states/eV/atom) = 0.80
# - formation energy from raw total energies (eV/atom) = -0.334
# - final energy (hartree per atom) = -0.193
# - M_tot (μB per cell) = 0.00
# - space group = P4/mmm, No. 123

---

# PBE BiSbPdSe2, optimized geometry
data_BiSbPdSe2
_chemical_formula_sum 'Bi1 Sb1 Pd1 Se2'
_space_group_name_H-M_alt 'P 1'
_space_group_IT_number 1
_space_group_name_Hall 'P 1'
_cell_length_a 5.4208
_cell_length_b 5.8970
_cell_length_c 5.4208
_cell_angle_alpha 90.00
_cell_angle_beta 90.00
_cell_angle_gamma 90.00
loop_
_atom_site_label
_atom_site_fract_x
_atom_site_fract_y
_atom_site_fract_z
Sb1 0.0000 0.5000 0.0000
Se1 0.0000 0.0000 0.5000
Se2 0.5000 0.0000 0.0000
Bi1 0.0000 0.0000 0.0000
Pd1 0.5000 0.5000 0.5000
# - N(E_F) (states/eV/atom) = 1.85
# - formation energy from raw total energies (eV/atom) = 0.959
# - final energy (hartree per atom) = -0.113
# - M_tot (μB per cell) = 0.00
# - space group = P4/mmm, No. 123

---

# PBE SnBi2SbPd4, optimized geometry
data_SnBi2SbPd4
_chemical_formula_sum 'Sn2 Bi4 Sb2 Pd8'
_space_group_name_H-M_alt 'P 1'
_space_group_IT_number 1
_space_group_name_Hall 'P 1'
_cell_length_a 7.9908
_cell_length_b 7.9908
_cell_length_c 8.4748
_cell_angle_alpha 122.03
_cell_angle_beta 122.03
_cell_angle_gamma 89.97
loop_
_atom_site_label
_atom_site_fract_x
_atom_site_fract_y
_atom_site_fract_z
Sn1 0.0000 0.5000 0.0000
Sn2 0.0000 0.5000 0.5000
Bi1 0.5000 0.0000 0.0000
Bi2 0.5000 0.0000 0.5000
Bi3 0.0000 0.0000 0.5000
Bi4 0.5000 0.5000 0.0000
Sb1 0.5000 0.5000 0.5000
Sb2 0.0000 0.0000 0.0000
Pd1 0.2142 0.7367 0.9755
Pd2 0.7633 0.2858 0.5245
Pd3 0.2367 0.7142 0.4755
Pd4 0.7858 0.2633 0.0245
Pd5 0.7594 0.7406 0.9816
Pd6 0.7594 0.7406 0.5184
Pd7 0.2406 0.2594 0.4816
Pd8 0.2406 0.2594 0.0184
# - N(E_F) (states/eV/atom) = 0.50
# - formation energy from raw total energies (eV/atom) = -0.220
# - final energy (hartree per atom) = -0.176
# - M_tot (μB per cell) = 0.00
# - space group = Imma, No. 74

---

# PBE Sn2Bi2SbPd7, optimized geometry
data_Sn2Bi2SbPd7
_chemical_formula_sum 'Sn2 Bi2 Sb1 Pd7'
_space_group_name_H-M_alt 'P 1'
_space_group_IT_number 1
_space_group_name_Hall 'P 1'
_cell_length_a 3.9811
_cell_length_b 3.9811
_cell_length_c 16.2039
_cell_angle_alpha 86.23
_cell_angle_beta 86.23
_cell_angle_gamma 90.70
loop_
_atom_site_label
_atom_site_fract_x
_atom_site_fract_y
_atom_site_fract_z
Sn1 0.8620 0.8620 0.4183
Sn2 0.1380 0.1380 0.5817
Bi1 0.5647 0.5647 0.7518
Bi2 0.4353 0.4353 0.2482
Sb1 0.0000 0.0000 0.0000
Pd1 0.5000 0.5000 0.0000
Pd2 0.3666 0.3666 0.4218
Pd3 0.6334 0.6334 0.5782
Pd4 0.9668 0.4661 0.1293
Pd5 0.4661 0.9668 0.1293
Pd6 0.5339 0.0332 0.8707
Pd7 0.0332 0.5339 0.8707
# - N(E_F) (states/eV/atom) = 0.38
# - formation energy from raw total energies (eV/atom) = -0.288
# - final energy (hartree per atom) = -0.183
# - M_tot (μB per cell) = 0.00
# - space group = C2/m, No. 12